Entry 1:
Here is a geometry-optimized Cs2CdHgBi structure from the Alexandria database. Energies are from GGA-PBE.

Summary:
Crystal system: monoclinic
Polymorph energy (0 for the lowest one): 0 meV per atom
Calculated formation energy: -0.267 eV per atom
E: -1.63 eV per atom
Magnetization: 0.00 μB/cell

Cell: 5.0302 10.6453 11.2414 Å, 121.21 90.00 90.00°
Closest atoms and distances in Å follow each position.
Sites, in units of the cell vectors:
Cd 0.7500 0.4321 0.2178  2 Bi 2.93, 1 Hg 3.03
Cs 0.7500 0.7415 0.1137  3 Hg 3.98-4.22, 3 Cd 4.03-4.06, 3 Bi 4.04-4.13
Bi 0.7500 0.4038 0.7021  2 Cd 2.93
Bi 0.2500 0.5962 0.2979  2 Cd 2.93
Cs 0.7500 0.7448 0.6250  3 Hg 4.01-4.29, 3 Cd 4.03-4.06, 3 Bi 4.04-4.15
Cs 0.2500 0.2585 0.8863  3 Hg 3.98-4.22, 3 Cd 4.03-4.06, 3 Bi 4.04-4.13
Cs 0.2500 0.2552 0.3750  3 Hg 4.01-4.29, 3 Cd 4.03-4.06, 3 Bi 4.04-4.15
Hg 0.7500 0.0994 0.0509  1 Cd 3.03, 2 Hg 3.10
Hg 0.2500 0.9006 0.9491  1 Cd 3.03, 2 Hg 3.10
Cd 0.2500 0.5679 0.7822  2 Bi 2.93, 1 Hg 3.03

Entry 2:
Here is a geometry-optimized Cs3Er3VS8 structure from the Alexandria database. Energies are from GGA-PBE.

Summary:
Crystal system: trigonal
ΔE_f (raw): -1.58 eV/atom
E: -5.47 eV per atom
Magnetization: 1.00 μB/cell

Cell: 7.8187 7.8195 9.3629 Å, 114.71 90.00 120.00°
Closest atoms and distances in Å follow each position.
Sites, in units of the cell vectors:
S 0.2480 0.0395 0.3312  1 V 2.48, 2 Er 2.74
S 0.7272 0.4544 0.6814  3 Er 2.70
Cs 0.5000 0.5000 0.0000  6 S 3.45-3.47
S 0.2728 0.5456 0.3186  3 Er 2.70
S 0.2086 0.4171 0.6688  1 V 2.48, 2 Er 2.74
S 0.7520 0.9605 0.6688  1 V 2.48, 2 Er 2.74
Cs 0.0000 0.5000 0.0000  6 S 3.45-3.47
Er 0.0000 0.5000 0.5000  6 S 2.70-2.74
V 0.0000 0.0000 0.5000  6 S 2.48
Cs 0.0000 0.0000 0.0000  6 S 3.45-3.47
S 0.7915 0.0395 0.3312  1 V 2.48, 2 Er 2.74
S 0.2085 0.9605 0.6688  1 V 2.48, 2 Er 2.74
Er 0.5000 0.0000 0.5000  6 S 2.70-2.74
Er 0.5000 0.5000 0.5000  6 S 2.70-2.74
S 0.7914 0.5829 0.3312  1 V 2.48, 2 Er 2.74

Entry 3:
Here is a geometry-optimized Tb12ErMg3 structure from the Alexandria database. Energies are from GGA-PBE.

Summary:
Crystal system: tetragonal
Calculated formation energy: 0.020 eV per atom
E: -4.04 eV per atom
Magnetization: 0.00 μB/cell

Cell: 4.9374 4.9374 19.8471 Å, 90.00 90.00 90.00°
Closest atoms and distances in Å follow each position.
Sites, in units of the cell vectors:
Tb 0.5000 0.5000 0.7467  8 Tb 3.47-3.51, 4 Mg 3.49
Mg 0.0000 0.0000 0.7462  12 Tb 3.46-3.52
Tb 0.5000 0.0000 0.1273  8 Tb 3.49-3.53, 2 Mg 3.52, 2 Er 3.53
Tb 0.0000 0.5000 0.6237  4 Mg 3.46-3.48, 8 Tb 3.47-3.49
Tb 0.5000 0.0000 0.6237  4 Mg 3.46-3.48, 8 Tb 3.47-3.49
Er 0.0000 0.0000 0.0000  12 Tb 3.49-3.53
Mg 0.0000 0.0000 0.5000  12 Tb 3.48-3.49
Tb 0.5000 0.5000 0.2533  8 Tb 3.47-3.51, 4 Mg 3.49
Tb 0.0000 0.5000 0.1273  8 Tb 3.49-3.53, 2 Mg 3.52, 2 Er 3.53
Tb 0.5000 0.5000 0.0000  4 Er 3.49, 8 Tb 3.53
Tb 0.0000 0.5000 0.8727  8 Tb 3.49-3.53, 2 Mg 3.52, 2 Er 3.53
Mg 0.0000 0.0000 0.2538  12 Tb 3.46-3.52
Tb 0.0000 0.5000 0.3763  4 Mg 3.46-3.48, 8 Tb 3.47-3.49
Tb 0.5000 0.0000 0.8727  8 Tb 3.49-3.53, 2 Mg 3.52, 2 Er 3.53
Tb 0.5000 0.5000 0.5000  8 Tb 3.48, 4 Mg 3.49
Tb 0.5000 0.0000 0.3763  4 Mg 3.46-3.48, 8 Tb 3.47-3.49

Entry 4:
Here is a geometry-optimized HgOsPd2F structure from the Alexandria database. Energies are from GGA-PBE.

Summary:
Crystal system: tetragonal
ΔE_f (raw): 1.28 eV/atom
E: -3.48 eV per atom
Magnetization: 3.54 μB/cell

Cell: 5.0972 4.1773 5.0972 Å, 90.00 90.00 90.00°
Closest atoms and distances in Å follow each position.
Sites, in units of the cell vectors:
Os 0.5000 0.5000 0.5000  8 Pd 3.30, 4 F 3.60
Pd 0.0000 0.0000 0.5000  2 Hg 2.55
Hg 0.0000 0.0000 0.0000  2 F 2.09
Pd 0.5000 0.0000 0.0000  2 Hg 2.55
F 0.0000 0.5000 0.0000  2 Hg 2.09